This record from the Alexandria database describes Ac3AgGe6Pd2 after structural relaxation. The functional is PBE-GGA.

## Properties
**Symmetry**: No. 164
**Energy of formation**: -0.389 eV/atom
**Crystal system**: trigonal
**Calculated total energy**: -4.83 eV per atom

Geometry as extended XYZ:
```
12
Lattice="-4.472 -4.104 -1.781 5.757 -0.266 -2.608 2.519 -5.397 6.111" Properties=species:S:1:pos:R:3 pbc="T T T"
Ac 3.966 -5.013 1.594
Ac -0.162 -4.754 0.128
Ac 0.000 0.000 0.000
Ag 1.260 -2.699 3.056
Ge 2.633 -4.248 -1.425
Ge 2.107 -2.457 0.373
Ge 4.465 -2.566 -0.696
Ge 1.697 -7.310 1.350
Ge 1.171 -5.520 3.148
Ge -0.661 -7.201 2.418
Pd 1.373 -8.043 3.852
Pd 2.431 -1.724 -2.130
```